! UGaCuIr (PBE-GGA, optimized geometry); values from VASP
&SYSTEM
  ibrav = 0, nat = 4, ntyp = 4
/
ATOMIC_SPECIES
Cu 63.55 Cu.upf
U 238.03 U.upf
Ga 69.72 Ga.upf
Ir 192.22 Ir.upf
ATOMIC_POSITIONS angstrom
Cu -2.276 0.524 1.595
U 0.000 0.000 0.000
Ga -4.552 1.049 3.190
Ir -6.828 1.573 4.786
CELL_PARAMETERS angstrom
-3.412 2.999 0.832
-4.177 -1.538 1.232
-1.514 0.636 4.317
! DFT formation energy: -0.17 eV/atom
! Space group: F-43m (216)


! PmSbSe (PBE-GGA, optimized geometry); values from VASP
&SYSTEM
  ibrav = 0, nat = 6, ntyp = 3
/
ATOMIC_SPECIES
Sb 121.76 Sb.upf
Se 78.96 Se.upf
Pm 145.00 Pm.upf
ATOMIC_POSITIONS angstrom
Sb -3.799 -1.405 -0.206
Sb -6.743 -4.449 7.414
Se -4.779 -2.416 2.333
Se -5.762 -3.433 4.877
Pm -2.803 -4.134 4.075
Pm -0.793 -2.057 -1.128
CELL_PARAMETERS angstrom
-4.935 2.419 -0.940
1.576 -3.523 -0.799
-4.020 -4.158 10.405
! Energy above the most stable polymorph in this dataset: 1.13 eV per formula unit
! Space group: P4/mmm (123)


! SbCl2 (PBE-GGA, optimized geometry); values from VASP
&SYSTEM
  ibrav = 0, nat = 3, ntyp = 2
/
ATOMIC_SPECIES
Cl 35.45 Cl.upf
Sb 121.76 Sb.upf
ATOMIC_POSITIONS angstrom
Cl 1.872 3.283 5.911
Cl 1.872 3.283 9.788
Sb 0.000 0.000 0.000
CELL_PARAMETERS angstrom
0.000 3.283 7.850
1.872 0.000 7.850
1.872 3.283 0.000
! Energy above the most stable polymorph in this dataset: 0.61 eV per formula unit
! Space group: Fmmm (69)


! SmEr6Tm2 (PBE-GGA, optimized geometry); values from VASP
&SYSTEM
  ibrav = 0, nat = 9, ntyp = 3
/
ATOMIC_SPECIES
Er 167.26 Er.upf
Tm 168.93 Tm.upf
Sm 150.36 Sm.upf
ATOMIC_POSITIONS angstrom
Er -1.081 -7.679 1.467
Er -1.734 -2.760 1.418
Er -4.097 -0.562 2.792
Er -3.445 -5.481 2.840
Er -5.122 -3.248 0.733
Er -0.057 -4.993 3.526
Tm -5.610 2.541 2.539
Tm 0.432 -10.782 1.720
Sm 0.000 0.000 0.000
CELL_PARAMETERS angstrom
-0.696 -0.058 3.479
-7.282 4.789 0.433
2.800 -12.972 0.347
! Energy above the most stable polymorph in this dataset: 0.00 eV per formula unit
! DFT formation energy: 0.00 eV/atom
! Space group: C2/m (12)


! AgP2S2 (PBE-GGA, optimized geometry); values from VASP
&SYSTEM
  ibrav = 0, nat = 5, ntyp = 3
/
ATOMIC_SPECIES
S 32.06 S.upf
P 30.97 P.upf
Ag 107.87 Ag.upf
ATOMIC_POSITIONS angstrom
S -1.440 -1.165 1.367
S -1.318 -0.505 -1.819
P 1.184 -1.862 -0.341
P 0.000 0.000 0.000
Ag -1.574 -3.532 -0.792
CELL_PARAMETERS angstrom
-2.880 -2.331 2.734
-2.636 -1.011 -3.638
2.367 -3.723 -0.681
! Energy above the most stable polymorph in this dataset: 0.00 eV per formula unit
! Space group: P4/mmm (123)


! LaTbSn2 (PBE-GGA, optimized geometry); values from VASP
&SYSTEM
  ibrav = 0, nat = 4, ntyp = 3
/
ATOMIC_SPECIES
Sn 118.71 Sn.upf
La 138.91 La.upf
Tb 158.93 Tb.upf
ATOMIC_POSITIONS angstrom
Sn -2.520 1.877 -0.277
Sn -7.938 5.574 -0.723
La -5.229 3.725 -0.500
Tb 0.000 0.000 0.000
CELL_PARAMETERS angstrom
-0.430 4.069 0.604
-1.242 2.432 -3.106
-8.785 0.950 1.503
! DFT formation energy: -0.54 eV/atom
! Space group: R-3m (166)


! CaIn2Cl (PBE-GGA, optimized geometry); values from VASP
&SYSTEM
  ibrav = 0, nat = 4, ntyp = 3
/
ATOMIC_SPECIES
Ca 40.08 Ca.upf
In 114.82 In.upf
Cl 35.45 Cl.upf
ATOMIC_POSITIONS angstrom
Ca -0.892 -0.884 3.090
In 2.414 -0.468 3.663
In 4.714 -0.914 7.154
Cl 1.484 -1.345 6.695
CELL_PARAMETERS angstrom
-2.486 1.777 1.865
-1.673 -3.085 0.708
4.751 -0.921 7.211
! Energy above the most stable polymorph in this dataset: 2.09 eV per formula unit
! Space group: P4/mmm (123)


! Ce3Se3O (PBE-GGA, optimized geometry); values from VASP
&SYSTEM
  ibrav = 0, nat = 14, ntyp = 3
/
ATOMIC_SPECIES
O 16.00 O.upf
Ce 140.12 Ce.upf
Se 78.96 Se.upf
ATOMIC_POSITIONS angstrom
O 2.959 4.777 6.148
O 0.770 1.243 1.008
Ce 4.144 3.145 5.111
Ce 2.759 0.909 2.045
Ce -0.416 2.875 2.045
Ce -0.087 -0.141 5.776
Ce 0.969 5.112 5.111
Ce 3.816 6.161 1.380
Se 5.353 0.849 3.578
Se 1.300 2.098 4.706
Se -1.624 5.171 3.578
Se 2.429 3.922 2.450
Se -0.632 5.242 0.034
Se 4.974 1.769 0.034
CELL_PARAMETERS angstrom
7.340 0.304 0.034
-2.997 6.707 0.034
-0.614 -0.991 7.089
! Energy above the most stable polymorph in this dataset: 0.63 eV per formula unit
! Space group: C2/m (12)


! CsNp2CuTe4 (PBE-GGA, optimized geometry); values from VASP
&SYSTEM
  ibrav = 0, nat = 16, ntyp = 4
/
ATOMIC_SPECIES
Cs 132.91 Cs.upf
Np 237.00 Np.upf
Te 127.60 Te.upf
Cu 63.55 Cu.upf
ATOMIC_POSITIONS angstrom
Cs -1.026 6.277 9.916
Cs -5.547 -0.325 5.257
Np -3.042 4.061 5.514
Np -3.529 5.600 14.258
Np -3.531 1.891 9.658
Np -3.044 0.352 0.915
Te 0.002 4.879 6.051
Te -2.507 -1.466 3.371
Te 0.000 0.000 0.000
Te -4.067 4.677 8.403
Te -4.066 7.418 11.802
Te -2.506 1.274 6.770
Te -4.064 3.205 12.394
Te -2.508 2.746 2.779
Cu -4.976 5.128 10.844
Cu -1.597 0.824 4.329
CELL_PARAMETERS angstrom
-3.532 2.117 -1.706
-3.045 -5.923 4.777
0.005 9.757 12.101
! Space group: Cmcm (63)
! Calculated total energy: -48.758 eV per formula unit


! Ac3Pm8Y4 (PBE-GGA, optimized geometry); values from VASP
&SYSTEM
  ibrav = 0, nat = 15, ntyp = 3
/
ATOMIC_SPECIES
Pm 145.00 Pm.upf
Ac 227.00 Ac.upf
Y 88.91 Y.upf
ATOMIC_POSITIONS angstrom
Pm 3.395 2.086 2.997
Pm 0.075 0.901 6.988
Pm -3.429 1.488 6.747
Pm -3.429 5.811 3.738
Pm -3.245 5.056 7.262
Pm -0.395 1.709 2.455
Pm 0.545 5.433 7.804
Pm 0.075 6.240 3.271
Ac 1.789 4.330 0.710
Ac 0.075 3.571 5.130
Ac 1.789 -0.838 4.307
Y -1.714 -0.759 4.420
Y 3.503 -0.079 -0.113
Y -1.714 4.409 0.822
Y 0.000 0.000 0.000
CELL_PARAMETERS angstrom
7.007 -0.157 -0.226
-3.429 8.817 1.645
-3.429 -1.518 8.840
! DFT formation energy: 0.36 eV/atom
! Space group: C2/m (12)


! MnZn2Cd (PBE-GGA, optimized geometry); values from VASP
&SYSTEM
  ibrav = 0, nat = 4, ntyp = 3
/
ATOMIC_SPECIES
Mn 54.94 Mn.upf
Zn 65.41 Zn.upf
Cd 112.41 Cd.upf
ATOMIC_POSITIONS angstrom
Mn 6.757 3.901 2.759
Zn 6.757 3.901 0.001
Zn 2.252 1.300 0.919
Cd 4.505 2.601 1.840
CELL_PARAMETERS angstrom
4.505 0.000 0.000
2.252 3.901 0.000
2.252 1.300 3.678
! DFT formation energy: 0.16 eV/atom
! Space group: F-43m (216)


! CaLaAg2 (PBE-GGA, optimized geometry); values from VASP
&SYSTEM
  ibrav = 0, nat = 4, ntyp = 3
/
ATOMIC_SPECIES
Ag 107.87 Ag.upf
La 138.91 La.upf
Ca 40.08 Ca.upf
ATOMIC_POSITIONS angstrom
Ag -1.773 -2.239 1.357
Ag -3.599 -2.236 4.776
La -6.172 -6.715 5.666
Ca -3.523 -4.478 2.669
CELL_PARAMETERS angstrom
-2.936 -2.560 -1.566
0.486 -4.162 0.264
-4.557 -2.234 6.569
! Energy above the most stable polymorph in this dataset: 0.77 eV per formula unit
! DFT formation energy: -0.12 eV/atom
! Space group: R3m (160)


! PrMn4S8 (PBE-GGA, optimized geometry); values from VASP
&SYSTEM
  ibrav = 0, nat = 13, ntyp = 3
/
ATOMIC_SPECIES
Mn 54.94 Mn.upf
S 32.06 S.upf
Pr 140.91 Pr.upf
ATOMIC_POSITIONS angstrom
Mn -3.923 -0.164 4.355
Mn -1.617 1.533 2.549
Mn 0.000 0.000 0.000
Mn -2.306 -1.697 1.806
S -0.144 -1.728 7.649
S -4.095 -1.892 12.030
S -3.994 -2.222 5.503
S -1.792 -0.165 10.247
S -3.292 1.071 6.261
S -2.495 -3.458 9.490
S -1.691 -0.495 3.721
S -5.642 -0.659 8.101
Pr -2.893 -1.194 7.875
CELL_PARAMETERS angstrom
-3.234 3.066 5.097
-4.612 -3.394 3.612
2.060 -2.058 7.042
! Space group: R-3m (166)
! Calculated total energy: -84.747 eV per formula unit


! KAgTeCl6 (PBE-GGA, optimized geometry); values from VASP
&SYSTEM
  ibrav = 0, nat = 9, ntyp = 4
/
ATOMIC_SPECIES
Cl 35.45 Cl.upf
Ag 107.87 Ag.upf
K 39.10 K.upf
Te 127.60 Te.upf
ATOMIC_POSITIONS angstrom
Cl 4.450 0.105 1.956
Cl 5.642 2.212 4.881
Cl 4.698 3.768 1.901
Cl 1.419 2.158 1.934
Cl 2.342 3.816 4.854
Cl 2.596 0.175 4.912
Ag 7.025 4.048 3.428
K 7.024 0.007 6.774
Te 3.507 2.040 3.406
CELL_PARAMETERS angstrom
7.061 -0.061 0.005
3.478 6.082 0.061
0.005 0.066 6.769
! Space group: P1 (1)
! Calculated total energy: -26.150 eV per formula unit


! La2Tb6Ho3Pu (PBE-GGA, optimized geometry); values from VASP
&SYSTEM
  ibrav = 0, nat = 12, ntyp = 4
/
ATOMIC_SPECIES
Ho 164.93 Ho.upf
Tb 158.93 Tb.upf
La 138.91 La.upf
Pu 244.00 Pu.upf
ATOMIC_POSITIONS angstrom
Ho 4.134 0.013 5.807
Ho 1.039 1.800 5.807
Ho -2.055 3.587 5.807
Tb 3.092 1.835 8.676
Tb 0.044 3.595 8.676
Tb 2.035 0.005 2.937
Tb 2.077 3.597 2.924
Tb 0.001 0.003 8.690
Tb -1.013 1.765 2.937
La 3.088 1.782 -0.015
La 0.000 3.565 -0.015
Pu 0.000 0.000 0.000
CELL_PARAMETERS angstrom
6.183 -0.005 -0.015
-3.095 5.353 -0.015
-1.009 -1.748 11.643
! DFT formation energy: 0.05 eV/atom
! Space group: C2/m (12)


! SiIr2Cl (PBE-GGA, optimized geometry); values from VASP
&SYSTEM
  ibrav = 0, nat = 4, ntyp = 3
/
ATOMIC_SPECIES
Ir 192.22 Ir.upf
Cl 35.45 Cl.upf
Si 28.09 Si.upf
ATOMIC_POSITIONS angstrom
Ir -0.014 1.933 2.023
Ir -0.286 -0.497 3.217
Cl 3.196 2.927 5.071
Si 1.681 0.466 2.065
CELL_PARAMETERS angstrom
-1.538 3.655 0.428
-0.864 -0.753 3.325
5.517 2.038 2.424
! Energy above the most stable polymorph in this dataset: 2.14 eV per formula unit
! Space group: Pm (6)


! Tb2Pm2Pr3 (PBE-GGA, optimized geometry); values from VASP
&SYSTEM
  ibrav = 0, nat = 7, ntyp = 3
/
ATOMIC_SPECIES
Pr 140.91 Pr.upf
Pm 145.00 Pm.upf
Tb 158.93 Tb.upf
ATOMIC_POSITIONS angstrom
Pr 0.000 5.376 2.906
Pr 1.783 -0.331 4.529
Pr 0.000 4.345 -0.360
Pm 0.000 -2.398 7.042
Pm 1.783 7.443 0.393
Tb 0.000 1.799 2.150
Tb 1.783 3.245 5.285
CELL_PARAMETERS angstrom
3.566 0.000 0.000
0.000 8.691 -0.719
-1.783 -3.646 8.154
! Energy above the most stable polymorph in this dataset: 0.68 eV per formula unit
! DFT formation energy: 0.11 eV/atom
! Space group: C2/m (12)


! Dy8Co2Tc (PBE-GGA, optimized geometry); values from VASP
&SYSTEM
  ibrav = 0, nat = 11, ntyp = 3
/
ATOMIC_SPECIES
Dy 162.50 Dy.upf
Co 58.93 Co.upf
Tc 98.00 Tc.upf
ATOMIC_POSITIONS angstrom
Dy 2.698 2.244 -0.926
Dy 3.159 0.502 1.715
Dy 4.189 5.206 -1.561
Dy 0.924 4.307 4.616
Dy 0.462 6.050 1.974
Dy 3.358 4.200 2.184
Dy 0.332 2.373 1.508
Dy 5.205 1.368 4.257
Co 2.193 1.997 3.823
Co 1.505 4.598 -0.119
Tc 0.471 0.039 -0.056
CELL_PARAMETERS angstrom
5.711 0.073 -0.949
-1.866 6.606 -2.834
-0.075 -0.161 7.424
! DFT formation energy: -0.03 eV/atom
! Space group: Cm (8)


! Ba2Na3In2 (PBE-GGA, optimized geometry); values from VASP
&SYSTEM
  ibrav = 0, nat = 7, ntyp = 3
/
ATOMIC_SPECIES
Na 22.99 Na.upf
In 114.82 In.upf
Ba 137.33 Ba.upf
ATOMIC_POSITIONS angstrom
Na 0.000 0.000 0.000
Na 2.162 2.087 10.607
Na 2.162 2.889 1.311
In 2.162 3.585 4.845
In 2.162 1.392 7.073
Ba 0.000 0.813 4.131
Ba 0.000 4.164 7.787
CELL_PARAMETERS angstrom
4.323 0.000 0.000
0.000 5.067 -0.997
0.000 -0.090 12.915
! DFT formation energy: -0.21 eV/atom
! Space group: Cmmm (65)


! PBr (PBE-GGA, optimized geometry); values from VASP
&SYSTEM
  ibrav = 0, nat = 2, ntyp = 2
/
ATOMIC_SPECIES
P 30.97 P.upf
Br 79.90 Br.upf
ATOMIC_POSITIONS angstrom
P 0.000 0.000 0.000
Br -2.307 -0.787 -1.713
CELL_PARAMETERS angstrom
-0.479 0.985 -3.261
-0.830 -3.228 -0.853
-3.304 0.668 0.688
! Energy above the most stable polymorph in this dataset: 2.45 eV per formula unit
! Space group: Pm-3m (221)


! PrErNi2 (PBE-GGA, optimized geometry); values from VASP
&SYSTEM
  ibrav = 0, nat = 4, ntyp = 3
/
ATOMIC_SPECIES
Pr 140.91 Pr.upf
Ni 58.69 Ni.upf
Er 167.26 Er.upf
ATOMIC_POSITIONS angstrom
Pr -1.540 -2.572 2.946
Ni 0.186 -1.359 0.711
Ni 0.640 -4.681 2.450
Er -1.953 0.448 1.365
CELL_PARAMETERS angstrom
-0.546 1.511 3.029
-3.360 -0.615 -0.299
0.825 -6.040 3.161
! Energy above the most stable polymorph in this dataset: 0.30 eV per formula unit
! DFT formation energy: -0.30 eV/atom
! Space group: P4/mmm (123)


! K2Tl6InAu (PBE-GGA, optimized geometry); values from VASP
&SYSTEM
  ibrav = 0, nat = 20, ntyp = 4
/
ATOMIC_SPECIES
In 114.82 In.upf
Tl 204.38 Tl.upf
K 39.10 K.upf
Au 196.97 Au.upf
ATOMIC_POSITIONS angstrom
In 7.917 4.571 9.421
In 7.917 4.571 3.661
Tl 6.262 5.526 1.114
Tl 7.917 2.660 1.114
Tl 9.571 5.526 1.114
Tl 5.589 5.914 7.746
Tl 6.262 3.615 11.967
Tl 10.244 3.227 5.335
Tl 7.917 6.481 11.967
Tl 7.917 1.883 7.746
Tl 9.571 3.615 11.967
Tl 7.917 7.258 5.335
Tl 10.244 5.914 7.746
Tl 5.589 3.227 5.335
K 3.958 2.285 2.135
K 11.875 6.856 10.946
K 3.958 2.285 9.057
K 11.875 6.856 4.025
Au 7.917 4.571 6.541
Au 0.000 0.000 0.000
CELL_PARAMETERS angstrom
7.917 0.000 0.000
3.958 6.856 0.000
3.958 2.285 13.081
! DFT formation energy: -0.02 eV/atom
! Space group: R-3m (166)


! NiSbW2 (PBE-GGA, optimized geometry); values from VASP
&SYSTEM
  ibrav = 0, nat = 8, ntyp = 3
/
ATOMIC_SPECIES
W 183.84 W.upf
Ni 58.69 Ni.upf
Sb 121.76 Sb.upf
ATOMIC_POSITIONS angstrom
W 2.825 2.864 7.341
W 0.980 2.825 2.447
W 2.787 0.942 2.447
W 4.708 4.670 7.341
Ni 1.883 1.883 0.000
Ni 1.883 3.767 4.894
Sb 0.000 0.000 0.000
Sb 3.767 1.883 4.894
CELL_PARAMETERS angstrom
3.767 0.000 0.000
0.000 3.767 0.000
1.883 1.883 9.788
! Space group: I-42d (122)
! Calculated total energy: -33.134 eV per formula unit


! Th3Co9B2 (PBE-GGA, optimized geometry); values from VASP
&SYSTEM
  ibrav = 0, nat = 14, ntyp = 3
/
ATOMIC_SPECIES
Th 232.04 Th.upf
Co 58.93 Co.upf
B 10.81 B.upf
ATOMIC_POSITIONS angstrom
Th 2.628 -3.001 0.145
Th 0.000 0.000 0.000
Th 1.471 -3.816 3.834
Co 0.709 -4.711 1.288
Co -1.241 -3.580 3.163
Co 3.390 -2.106 2.691
Co 1.871 -1.086 -1.798
Co 3.304 -4.961 2.032
Co 5.340 -3.237 0.816
Co -0.083 -2.740 -0.632
Co -1.953 -1.654 1.167
Co 0.795 -1.856 1.947
B 4.676 -3.643 2.664
B -0.578 -3.174 1.315
CELL_PARAMETERS angstrom
-3.906 -3.308 2.333
3.741 -2.171 -3.597
4.264 -1.338 5.243
! DFT formation energy: -0.32 eV/atom
! Space group: P-3m1 (164)